{
  "formula": "LiSc5Rh6",
  "functional": "PBE-GGA",
  "state": "relaxed",
  "dft_energy_ev_per_atom": -7.383,
  "lattice_angstrom": [[-1.181, 1.262, 4.151], [-6.315, -3.203, -3.268], [6.533, -4.203, 0.692]],
  "species": ["Rh", "Rh", "Rh", "Rh", "Rh", "Rh", "Sc", "Sc", "Sc", "Sc", "Sc", "Li"],
  "frac_coords": [[0.754, 0.254, 0.254], [0.251, 0.084, 0.418], [0.749, 0.582, 0.916], [0.251, 0.418, 0.084], [0.749, 0.916, 0.582], [0.246, 0.746, 0.746], [0.500, 0.500, 0.500], [0.000, 0.669, 0.331], [0.500, 0.842, 0.158], [0.000, 0.331, 0.669], [0.500, 0.158, 0.842], [0.000, 0.000, 0.000]]
}

{
  "formula": "AlAg2P",
  "functional": "PBE-GGA",
  "state": "relaxed",
  "dft_energy_ev_per_atom": -3.533,
  "lattice_angstrom": [[-0.986, -4.794, 1.035], [-1.020, -2.458, -4.235], [3.797, 2.986, 1.298]],
  "species": ["Ag", "Ag", "P", "Al"],
  "frac_coords": [[0.250, 0.750, 0.500], [0.000, 0.000, 0.000], [0.750, 0.250, 0.500], [0.500, 0.500, 0.000]]
}

{
  "formula": "ZrNbCu4",
  "functional": "PBE-GGA",
  "state": "relaxed",
  "dft_energy_ev_per_atom": -5.815,
  "lattice_angstrom": [[-2.976, 2.611, -3.061], [-4.798, -1.313, -0.546], [-3.617, 2.893, 1.894]],
  "species": ["Zr", "Cu", "Cu", "Cu", "Cu", "Nb"],
  "frac_coords": [[0.000, 0.000, 0.000], [0.625, 0.625, 0.126], [0.625, 0.625, 0.625], [0.126, 0.625, 0.625], [0.625, 0.126, 0.625], [0.250, 0.250, 0.250]]
}